Compound: Mn2NiO4
Source: the Alexandria database
Functional: PBE+U
Structure: optimized geometry

Values from the calculation:
Polymorph energy (0 for the lowest one)   50 meV per atom

The structure in POSCAR format:
```
Mn2NiO4
1.0
-3.891 -2.313 -4.349
4.047 -3.576 -3.199
-0.930 -0.194 6.204
Mn Ni O
4 2 8
Direct
0.500 0.500 0.000 Mn
0.500 0.000 0.000 Mn
0.500 0.500 0.500 Mn
0.000 0.500 0.500 Mn
0.875 0.125 0.750 Ni
0.125 0.875 0.250 Ni
0.723 0.740 0.983 O
0.740 0.257 0.017 O
0.743 0.260 0.483 O
0.740 0.723 0.483 O
0.257 0.740 0.517 O
0.260 0.277 0.517 O
0.277 0.260 0.017 O
0.260 0.743 0.983 O
```